[1]
Entry from the Alexandria database: a geometry-optimized Ca8Bi2Pb3 structure (GGA-PBE).

Structure (CIF):
```
data_Ca8Bi2Pb3
_space_group_name_H-M_alt 'P 1'
_space_group_IT_number 1
_cell_length_a 5.302
_cell_length_b 9.649
_cell_length_c 9.649
_cell_angle_alpha 67.58
_cell_angle_beta 90.00
_cell_angle_gamma 90.00
loop_
_space_group_symop_operation_xyz
'x,y,z'
loop_
_atom_site_label
_atom_site_fract_x
_atom_site_fract_y
_atom_site_fract_z
Ca1 0.000 0.383 0.383
Ca2 0.000 0.617 0.617
Ca3 0.000 0.870 0.870
Ca4 0.000 0.130 0.130
Ca5 0.500 0.369 0.881
Ca6 0.500 0.881 0.369
Ca7 0.500 0.119 0.631
Ca8 0.500 0.631 0.119
Bi1 0.500 0.737 0.737
Bi2 0.500 0.263 0.263
Pb1 0.500 0.000 0.000
Pb2 0.000 0.750 0.250
Pb3 0.000 0.250 0.750
```

Total energy (eV per formula unit): -42.3
Crystal system: orthorhombic
Calculated density (g/cm3): 4.9
Symmetry: Cmmm, No. 65

***

[2]
Entry from the Alexandria database: a geometry-optimized CaBi7Pb12 structure (GGA-PBE).

Structure (CIF):
```
data_CaBi7Pb12
_space_group_name_H-M_alt 'P 1'
_space_group_IT_number 1
_cell_length_a 9.651
_cell_length_b 9.651
_cell_length_c 9.651
_cell_angle_alpha 110.39
_cell_angle_beta 110.39
_cell_angle_gamma 110.39
loop_
_space_group_symop_operation_xyz
'x,y,z'
loop_
_atom_site_label
_atom_site_fract_x
_atom_site_fract_y
_atom_site_fract_z
Ca1 0.000 0.000 0.000
Bi1 0.997 0.634 0.813
Bi2 0.366 0.187 0.003
Bi3 0.187 0.003 0.366
Bi4 0.500 0.500 0.500
Bi5 0.813 0.997 0.634
Bi6 0.634 0.813 0.997
Bi7 0.003 0.366 0.187
Pb1 0.144 0.412 0.930
Pb2 0.588 0.070 0.856
Pb3 0.637 0.246 0.601
Pb4 0.754 0.399 0.363
Pb5 0.070 0.856 0.588
Pb6 0.399 0.363 0.754
Pb7 0.601 0.637 0.246
Pb8 0.930 0.144 0.412
Pb9 0.246 0.601 0.637
Pb10 0.363 0.754 0.399
Pb11 0.412 0.930 0.144
Pb12 0.856 0.588 0.070
```

Total energy (eV per formula unit): -74.3
Crystal system: trigonal
Calculated density (g/cm3): 9.9
Symmetry: R-3, No. 148